Record 1
SnAsH3: single point on PBEsol structure, meta-GGA SCAN.

The structure in POSCAR format:
```
SnAsH3
1.0
3.8110 0.0000 0.0000
0.0000 3.8110 0.0000
0.0000 0.0000 3.8110
Sn As H
1 1 3
direct
0.0000 0.0000 0.0000 Sn
0.5000 0.5000 0.5000 As
0.0000 0.5000 0.5000 H
0.5000 0.0000 0.5000 H
0.5000 0.5000 0.0000 H
```

Values from the calculation:
The calculation puts the density of states at the Fermi level at 1.79 states/eV/cell. The total energy is -62.97 eV per formula unit. The calculation puts the density at 5.9 Mg/m³.

=====

Record 2
SnAsH2: single point on PBEsol structure, meta-GGA SCAN.

The structure in POSCAR format:
```
SnAsH2
1.0
-2.1770 2.1770 5.8118
2.1770 -2.1770 5.8118
2.1770 2.1770 -5.8118
Sn As H
2 2 4
direct
0.0000 0.0000 0.0000 Sn
0.7500 0.2500 0.5000 Sn
0.2500 0.7500 0.5000 As
0.5000 0.5000 0.0000 As
0.3175 0.6250 0.1925 H
0.3750 0.5675 0.6925 H
0.4325 0.1250 0.8075 H
0.8750 0.6825 0.3075 H
```

Values from the calculation:
The calculation puts the density of states at the Fermi level at 2.93 states/eV/cell. The total energy is -60.63 eV per formula unit. The calculation puts the density at 5.9 Mg/m³.